Record 1
First-principles (GGA-PBE) data for crystalline ZrBr3 at its relaxed geometry, as listed in Alexandria.

Calculated values
total DFT energy (no corrections) = -4.4397 eV/atom
magnetic moment = 2.00 μB/cell
space group = I-42d
formation energy from raw total energies = -1.05 eV/atom

The structure in POSCAR format:
```
ZrBr3
1.0
-0.3240 2.2788 9.4681
-8.7967 -4.1326 0.6936
-3.3934 -3.3081 5.6939
Br Zr
6 2
Cartesian
-8.3752 -4.1838 5.7341
-6.6653 -1.1665 11.1779
-2.9652 -0.5513 12.5657
-4.5604 -0.9269 5.0808
-4.7291 -2.5955 7.9835
-2.1960 0.4009 8.7583
0.0000 0.0000 0.0000
-4.1389 -0.9781 10.1214
```

---

Record 2
First-principles (GGA-PBE) data for crystalline ErHfV at its relaxed geometry, as listed in Alexandria.

Calculated values
total DFT energy (no corrections) = -7.6902 eV/atom
magnetic moment = 0.00 μB/cell
space group = I4/mmm
energy relative to the elements = 0.6 eV/f.u.

The structure in POSCAR format:
```
ErHfV
1.0
3.1888 0.0000 0.0000
0.0000 3.1888 0.0000
-1.5944 -1.5944 13.1927
Hf Er V
2 2 2
Cartesian
1.5944 1.5944 9.0483
0.0000 0.0000 4.1444
1.5944 1.5944 1.7284
0.0000 0.0000 11.4642
1.5944 1.5944 6.0016
0.0000 0.0000 7.1911
```